Record 1
A relaxed Ba2TlInO5 crystal, computed with PBE.

```
Ba2TlInO5
1.0
1.801 -7.435 0.000
1.801 7.435 0.000
0.000 0.000 11.598
Ba Tl In O
4 2 2 10
direct
0.105 0.895 0.500
0.143 0.857 0.118
0.857 0.143 0.618
0.895 0.105 0.000
0.466 0.534 0.276
0.534 0.466 0.776
0.220 0.780 0.839
0.780 0.220 0.339
0.067 0.933 0.877
0.278 0.722 0.464
0.310 0.690 0.219
0.368 0.632 0.819
0.494 0.506 0.600
0.506 0.494 0.100
0.632 0.368 0.319
0.690 0.310 0.719
0.722 0.278 0.964
0.933 0.067 0.377
```

Results
- formation energy (no corrections) (eV/atom) = -1.7588


Record 2
A relaxed BPIrI crystal, computed with PBE.

```
BPIrI
1.0
4.015 0.000 0.000
0.000 3.134 0.000
-0.450 0.000 6.994
B P Ir I
1 1 1 1
direct
0.000 0.000 0.000
0.448 0.000 0.115
0.699 0.500 0.905
0.107 0.500 0.607
```

Results
- formation energy (no corrections) (eV/atom) = 0.2116


Record 3
A relaxed Ac6TlSn crystal, computed with PBE.

```
Ac6TlSn
1.0
3.874 -6.717 0.000
3.874 6.717 0.000
-3.551 0.000 6.893
Ac Tl Sn
6 1 1
direct
0.035 0.433 0.252
0.243 0.243 0.750
0.433 0.035 0.252
0.567 0.965 0.748
0.757 0.757 0.250
0.965 0.567 0.748
0.500 0.500 0.500
0.000 0.000 0.000
```


Record 4
A relaxed Sr2PuTe3 crystal, computed with PBE.

```
Sr2PuTe3
1.0
-2.323 3.290 7.000
2.323 -3.290 7.000
2.323 3.290 -7.000
Sr Pu Te
2 1 3
direct
0.168 0.168 0.000
0.832 0.832 0.000
0.500 0.500 0.000
0.000 0.500 0.500
0.341 0.841 0.500
0.659 0.159 0.500
```

Results
- formation energy (no corrections) (eV/atom) = -1.4667


Record 5
A relaxed Mn2CoMo crystal, computed with PBE.

```
Mn2CoMo
1.0
3.001 0.000 0.000
0.000 3.001 0.000
0.000 0.000 5.697
Mn Co Mo
2 1 1
direct
0.000 0.000 0.242
0.000 0.000 0.758
0.500 0.500 0.000
0.500 0.500 0.500
```


Record 6
A relaxed Sr2SbIr crystal, computed with PBE.

```
Sr2SbIr
1.0
3.543 0.000 0.000
0.000 4.274 0.000
0.000 0.000 7.169
Sr Sb Ir
2 1 1
direct
0.000 0.000 0.229
0.000 0.000 0.771
0.500 0.500 0.500
0.500 0.500 0.000
```

Results
- formation energy (no corrections) (eV/atom) = -0.2846


Record 7
A relaxed Ni2Ge2Pb crystal, computed with PBE.

```
Ni2Ge2Pb
1.0
7.478 0.000 0.000
0.000 7.478 0.000
0.000 0.000 3.008
Ni Ge Pb
4 4 2
direct
0.129 0.371 0.000
0.371 0.871 0.000
0.629 0.129 0.000
0.871 0.629 0.000
0.146 0.646 0.500
0.354 0.146 0.500
0.646 0.854 0.500
0.854 0.354 0.500
0.000 0.000 0.000
0.500 0.500 0.000
```


Record 8
A relaxed Pm14PrMg crystal, computed with PBE.

```
Pm14PrMg
1.0
10.286 0.000 0.000
0.000 5.121 5.120
0.000 -5.121 5.120
Pm Pr Mg
14 1 1
direct
0.000 0.000 0.000
0.000 0.000 0.500
0.000 0.500 0.000
0.000 0.500 0.500
0.252 0.249 0.249
0.252 0.249 0.751
0.252 0.751 0.249
0.252 0.751 0.751
0.500 0.000 0.500
0.500 0.500 0.000
0.748 0.249 0.249
0.748 0.249 0.751
0.748 0.751 0.249
0.748 0.751 0.751
0.500 0.500 0.500
0.500 0.999 0.999
```


Record 9
A relaxed CaEuHg2 crystal, computed with PBE.

```
CaEuHg2
1.0
5.489 0.000 0.000
0.000 5.489 0.000
0.000 0.000 3.766
Ca Eu Hg
1 1 2
direct
0.000 0.000 0.000
0.500 0.500 0.000
0.000 0.500 0.500
0.500 0.000 0.500
```


Record 10
A relaxed NaLiTi2Hg crystal, computed with PBE.

```
NaLiTi2Hg
1.0
5.222 0.000 0.000
0.000 5.222 0.000
0.000 0.000 5.067
Na Li Ti Hg
1 1 2 1
direct
0.000 0.000 0.000
0.500 0.500 0.000
0.000 0.500 0.500
0.500 0.000 0.500
0.500 0.500 0.500
```


Record 11
A relaxed Tl3Hg3Sb crystal, computed with PBE.

```
Tl3Hg3Sb
1.0
4.280 -5.183 0.000
4.280 5.183 0.000
-0.071 0.000 9.903
Tl Hg Sb
6 6 2
direct
0.204 0.796 0.000
0.222 0.778 0.500
0.420 0.420 0.702
0.580 0.580 0.298
0.778 0.222 0.500
0.796 0.204 0.000
0.027 0.027 0.730
0.056 0.467 0.256
0.467 0.056 0.256
0.533 0.944 0.744
0.944 0.533 0.744
0.973 0.973 0.270
0.330 0.330 0.015
0.670 0.670 0.985
```

Results
- formation energy (no corrections) (eV/atom) = 0.0145


Record 12
A relaxed Cs3CrBi crystal, computed with PBE.

```
Cs3CrBi
1.0
7.489 0.000 0.000
0.000 7.489 0.000
0.000 0.000 7.489
Cs Cr Bi
3 1 1
direct
0.000 0.000 0.500
0.000 0.500 0.000
0.500 0.000 0.000
0.500 0.500 0.500
0.000 0.000 0.000
```


Values for M_tot, μB per atom, ordered as above
0.010; 0.000; 0.000; 0.994; 1.318; 0.000; 0.000; 0.000; 1.801; 0.723; 0.000; 0.947
Values for DFT total energy, eV per atom, ordered as above
-5.51; -5.41; -3.89; -5.99; -9.01; -4.37; -4.81; -4.55; -3.77; -3.07; -1.72; -2.69